No. 1
{"formula": "Si2SbIr", "functional": "PBE", "state": "relaxed", "e_tot_ev_per_atom": -5.4531, "e_form_raw_ev_per_fu": 2.0, "lattice": [[3.9011, 0.0000, 0.0000], [0.0000, 3.9011, 0.0000], [0.0000, 0.0000, 4.5682]], "species": ["Si", "Si", "Sb", "Ir"], "frac_coords": [[0.0000, 0.5000, 0.0000], [0.5000, 0.0000, 0.0000], [0.0000, 0.0000, 0.5000], [0.5000, 0.5000, 0.5000]]}


No. 2
{"formula": "CoTcTeI2", "functional": "PBE", "state": "relaxed", "polymorph_energy_kj_per_mol_atoms": 5.88, "e_tot_ev_per_atom": -3.6618, "e_form_raw_ev_per_fu": 5.4, "lattice": [[5.5931, 0.0000, 0.0000], [0.0000, 5.5931, 0.0000], [0.0000, 0.0000, 5.0578]], "species": ["Co", "Tc", "Te", "I", "I"], "frac_coords": [[0.0000, 0.0000, 0.0000], [0.5000, 0.5000, 0.5000], [0.5000, 0.5000, 0.0000], [0.0000, 0.5000, 0.5000], [0.5000, 0.0000, 0.5000]]}


No. 3
{"formula": "Cs2Th3Se6", "functional": "PBE", "state": "relaxed", "e_tot_ev_per_atom": -5.6791, "e_form_raw_ev_per_fu": -17.6, "lattice": [[3.6854, -6.3796, 0.0000], [3.6854, 6.3796, 0.0000], [-2.4481, 0.0000, 8.7180]], "species": ["Cs", "Cs", "Th", "Th", "Th", "Se", "Se", "Se", "Se", "Se", "Se"], "frac_coords": [[0.1669, 0.8331, 0.0000], [0.8331, 0.1669, 0.0000], [0.0000, 0.0000, 0.5000], [0.3343, 0.6657, 0.5000], [0.6657, 0.3343, 0.5000], [0.0640, 0.3970, 0.6913], [0.2695, 0.2695, 0.3069], [0.3970, 0.0640, 0.6913], [0.6030, 0.9360, 0.3087], [0.7305, 0.7305, 0.6931], [0.9360, 0.6030, 0.3087]]}


No. 4
{"formula": "IrOs4Ru", "functional": "PBE", "state": "relaxed", "polymorph_energy_kj_per_mol_atoms": 0.00, "formation_enthalpy_0k_ev_per_atom": -0.01, "e_tot_ev_per_atom": -10.5168, "lattice": [[4.7645, 0.0000, 0.0000], [-2.3760, 4.5593, 0.0000], [-0.0002, -2.4920, 7.8675]], "species": ["Ir", "Ir", "Os", "Os", "Os", "Os", "Os", "Os", "Os", "Os", "Ru", "Ru"], "frac_coords": [[0.2074, 0.2494, 0.4574], [0.7926, 0.7506, 0.5426], [0.2082, 0.2498, 0.1238], [0.2094, 0.2513, 0.7937], [0.2912, 0.7491, 0.3733], [0.2923, 0.7518, 0.7104], [0.7077, 0.2482, 0.2896], [0.7088, 0.2509, 0.6267], [0.7906, 0.7487, 0.2063], [0.7918, 0.7502, 0.8762], [0.2915, 0.7493, 0.0412], [0.7085, 0.2507, 0.9588]]}


No. 5
{"formula": "Sm3SbS2", "functional": "PBE", "state": "relaxed", "polymorph_energy_kj_per_mol_atoms": 0.00, "e_tot_ev_per_atom": -5.7502, "e_form_raw_ev_per_fu": -8.0, "lattice": [[-3.6736, 5.4789, 4.4206], [3.6736, -5.4789, 4.4206], [3.6736, 5.4789, -4.4206]], "species": ["Sm", "Sm", "Sm", "Sm", "Sm", "Sm", "Sb", "Sb", "S", "S", "S", "S"], "frac_coords": [[0.0000, 0.2288, 0.2288], [0.0000, 0.7712, 0.7712], [0.5000, 0.0000, 0.0000], [0.5000, 0.2288, 0.7288], [0.5000, 0.5000, 0.5000], [0.5000, 0.7712, 0.2712], [0.1867, 0.9367, 0.2500], [0.8133, 0.0633, 0.7500], [0.2641, 0.7087, 0.5554], [0.3467, 0.2913, 0.0554], [0.6533, 0.7087, 0.9446], [0.7359, 0.2913, 0.4446]]}


No. 6
{"formula": "Li3NiRu", "functional": "PBE", "state": "relaxed", "polymorph_energy_kj_per_mol_atoms": 0.00, "formation_enthalpy_0k_ev_per_atom": 0.88, "e_tot_ev_per_atom": -3.2757, "lattice": [[4.2052, 0.0000, 0.0000], [0.0000, 4.2052, 0.0000], [0.0000, 0.0000, 4.2052]], "species": ["Li", "Li", "Li", "Ni", "Ru"], "frac_coords": [[0.0000, 0.0000, 0.5000], [0.0000, 0.5000, 0.0000], [0.5000, 0.0000, 0.0000], [0.0000, 0.0000, 0.0000], [0.5000, 0.5000, 0.5000]]}


No. 7
{"formula": "ZnGa3Cl", "functional": "PBE", "state": "relaxed", "polymorph_energy_kj_per_mol_atoms": 0.00, "e_tot_ev_per_atom": -2.4117, "e_form_raw_ev_per_fu": 0.1, "lattice": [[4.9355, 0.0000, 0.0000], [0.0000, 4.9355, 0.0000], [0.0000, 0.0000, 4.9355]], "species": ["Zn", "Ga", "Ga", "Ga", "Cl"], "frac_coords": [[0.0000, 0.0000, 0.0000], [0.0000, 0.0000, 0.5000], [0.0000, 0.5000, 0.0000], [0.5000, 0.0000, 0.0000], [0.5000, 0.5000, 0.5000]]}


No. 8
{"formula": "Ga4P", "functional": "PBE", "state": "relaxed", "formation_enthalpy_0k_ev_per_atom": 0.40, "e_tot_ev_per_atom": -3.1017, "lattice": [[4.7860, 0.0000, 0.0000], [0.0000, 4.7860, 0.0000], [0.0000, 0.0000, 4.7860]], "species": ["Ga", "Ga", "Ga", "Ga", "P"], "frac_coords": [[0.0000, 0.0000, 0.0000], [0.0000, 0.5000, 0.5000], [0.5000, 0.0000, 0.5000], [0.5000, 0.5000, 0.0000], [0.5000, 0.5000, 0.5000]]}


No. 9
{"formula": "LiTmRh4", "functional": "PBE", "state": "relaxed", "formation_enthalpy_0k_ev_per_atom": -0.45, "e_tot_ev_per_atom": -6.4143, "lattice": [[0.0000, 3.6849, 3.6849], [3.6849, 0.0000, 3.6849], [3.6849, 3.6849, 0.0000]], "species": ["Li", "Tm", "Rh", "Rh", "Rh", "Rh"], "frac_coords": [[0.0000, 0.0000, 0.0000], [0.2500, 0.2500, 0.2500], [0.1241, 0.6253, 0.6253], [0.6253, 0.1241, 0.6253], [0.6253, 0.6253, 0.1241], [0.6253, 0.6253, 0.6253]]}


No. 10
{"formula": "Na2NdGeS4", "functional": "PBE", "state": "relaxed", "e_tot_ev_per_atom": -4.6946, "e_form_raw_ev_per_fu": -9.0, "lattice": [[6.8809, 0.0000, 0.0000], [0.0000, 3.9377, 0.0000], [-2.2713, 0.0000, 6.6935]], "species": ["Na", "Na", "Nd", "Ge", "S", "S", "S", "S"], "frac_coords": [[0.0000, 0.0000, 0.0000], [0.5000, 0.5000, 0.0000], [0.0000, 0.5000, 0.5000], [0.5000, 0.0000, 0.5000], [0.2642, 0.0000, 0.7272], [0.2783, 0.5000, 0.2810], [0.7217, 0.5000, 0.7190], [0.7358, 0.0000, 0.2728]]}


No. 11
{"formula": "KLa2Sc", "functional": "PBE", "state": "relaxed", "polymorph_energy_kj_per_mol_atoms": 47.25, "formation_enthalpy_0k_ev_per_atom": 0.68, "e_tot_ev_per_atom": -3.6386, "lattice": [[-4.6068, 4.6068, 3.4521], [4.6068, -4.6068, 3.4521], [4.6068, 4.6068, -3.4521]], "species": ["K", "K", "La", "La", "La", "La", "Sc", "Sc"], "frac_coords": [[0.0000, 0.0000, 0.0000], [0.7500, 0.2500, 0.5000], [0.1377, 0.6250, 0.0127], [0.3750, 0.3877, 0.5127], [0.6123, 0.1250, 0.9873], [0.8750, 0.8623, 0.4873], [0.2500, 0.7500, 0.5000], [0.5000, 0.5000, 0.0000]]}


No. 12
{"formula": "Zr5Ge", "functional": "PBE", "state": "relaxed", "formation_enthalpy_0k_ev_per_atom": -0.23, "e_tot_ev_per_atom": -8.1182, "lattice": [[2.1616, -6.7578, 0.0000], [2.1616, 6.7578, 0.0000], [0.0000, 0.0000, 4.4092]], "species": ["Zr", "Zr", "Zr", "Zr", "Zr", "Ge"], "frac_coords": [[0.0000, 0.0000, 0.0000], [0.1586, 0.8414, 0.5000], [0.3371, 0.6629, 0.0000], [0.6629, 0.3371, 0.0000], [0.8414, 0.1586, 0.5000], [0.5000, 0.5000, 0.5000]]}